[1]
# AsPPtO, optimized geometry, DFT PBE-GGA
# **ρ**: 8.235 Mg/m³
# **ΔE to the lowest computed polymorph**: 0.089 eV per atom
# **Final energy**: -5.474 eV per atom
data_AsPPtO
_cell_length_a 3.915
_cell_length_b 3.915
_cell_length_c 8.341
_cell_angle_alpha 90.00
_cell_angle_beta 90.00
_cell_angle_gamma 90.00
_symmetry_space_group_name_H-M 'P 4/n m m'
_symmetry_Int_Tables_number 129
loop_
_symmetry_equiv_pos_as_xyz
'x,y,z'
'-x,-y,-z'
'-y+1/2,x,z'
'y+1/2,-x,-z'
'-x+1/2,-y+1/2,z'
'x+1/2,y+1/2,-z'
'y,-x+1/2,z'
'-y,x+1/2,-z'
'x+1/2,-y,-z'
'-x+1/2,y,z'
'-y,-x,-z'
'y,x,z'
'-x,y+1/2,-z'
'x,-y+1/2,z'
'y+1/2,x+1/2,-z'
'-y+1/2,-x+1/2,z'
loop_
_atom_site_label
_atom_site_type_symbol
_atom_site_fract_x
_atom_site_fract_y
_atom_site_fract_z
As1 As 0.250 0.250 0.107
P1 P 0.250 0.250 0.670
Pt1 Pt 0.250 0.750 0.500
O1 O 0.250 0.750 0.000

=====

[2]
# AsPPtO, optimized geometry, DFT PBE-GGA
# **ρ**: 7.404 Mg/m³
# **ΔE to the lowest computed polymorph**: 0.109 eV per atom
# **Final energy**: -5.454 eV per atom
data_AsPPtO
_cell_length_a 3.606
_cell_length_b 6.458
_cell_length_c 6.105
_cell_angle_alpha 90.00
_cell_angle_beta 90.00
_cell_angle_gamma 90.00
_symmetry_space_group_name_H-M 'P m c 21'
_symmetry_Int_Tables_number 26
_symmetry_space_group_name_Hall 'P 2c -2'
loop_
_atom_site_label
_atom_site_type_symbol
_atom_site_fract_x
_atom_site_fract_y
_atom_site_fract_z
As1 As 0.000 0.193 0.000
P1 P 0.000 0.164 0.399
Pt1 Pt 0.500 0.265 0.581
O1 O 0.500 0.296 0.957

=====

[3]
# AsPPtO, optimized geometry, DFT PBE-GGA
# **ρ**: 8.632 Mg/m³
# **ΔE to the lowest computed polymorph**: 0.586 eV per atom
# **Final energy**: -4.977 eV per atom
data_AsPPtO
_cell_length_a 4.540
_cell_length_b 4.540
_cell_length_c 5.917
_cell_angle_alpha 90.00
_cell_angle_beta 90.00
_cell_angle_gamma 90.00
_symmetry_space_group_name_H-M 'P 4/n m m'
_symmetry_Int_Tables_number 129
loop_
_symmetry_equiv_pos_as_xyz
'x,y,z'
'-x,-y,-z'
'-y+1/2,x,z'
'y+1/2,-x,-z'
'-x+1/2,-y+1/2,z'
'x+1/2,y+1/2,-z'
'y,-x+1/2,z'
'-y,x+1/2,-z'
'x+1/2,-y,-z'
'-x+1/2,y,z'
'-y,-x,-z'
'y,x,z'
'-x,y+1/2,-z'
'x,-y+1/2,z'
'y+1/2,x+1/2,-z'
'-y+1/2,-x+1/2,z'
loop_
_atom_site_label
_atom_site_type_symbol
_atom_site_fract_x
_atom_site_fract_y
_atom_site_fract_z
As1 As 0.250 0.750 0.000
P1 P 0.250 0.250 0.151
Pt1 Pt 0.250 0.250 0.535
O1 O 0.250 0.750 0.500

=====

[4]
# ReAsPO, optimized geometry, DFT PBE-GGA
# **ρ**: 8.607 Mg/m³
# **ΔE to the lowest computed polymorph**: 0.421 eV per atom
# **Final energy**: -6.647 eV per atom
data_ReAsPO
_cell_length_a 3.336
_cell_length_b 3.336
_cell_length_c 10.682
_cell_angle_alpha 90.00
_cell_angle_beta 90.00
_cell_angle_gamma 90.00
_symmetry_space_group_name_H-M 'P 4/n m m'
_symmetry_Int_Tables_number 129
loop_
_symmetry_equiv_pos_as_xyz
'x,y,z'
'-x,-y,-z'
'-y+1/2,x,z'
'y+1/2,-x,-z'
'-x+1/2,-y+1/2,z'
'x+1/2,y+1/2,-z'
'y,-x+1/2,z'
'-y,x+1/2,-z'
'x+1/2,-y,-z'
'-x+1/2,y,z'
'-y,-x,-z'
'y,x,z'
'-x,y+1/2,-z'
'x,-y+1/2,z'
'y+1/2,x+1/2,-z'
'-y+1/2,-x+1/2,z'
loop_
_atom_site_label
_atom_site_type_symbol
_atom_site_fract_x
_atom_site_fract_y
_atom_site_fract_z
Re1 Re 0.250 0.250 0.123
As1 As 0.250 0.750 0.500
P1 P 0.250 0.250 0.764
O1 O 0.250 0.750 0.000

=====

[5]
# ReAsPO, optimized geometry, DFT PBE-GGA
# **ρ**: 8.379 Mg/m³
# **ΔE to the lowest computed polymorph**: 0.184 eV per atom
# **Final energy**: -6.884 eV per atom
data_ReAsPO
_cell_length_a 4.045
_cell_length_b 5.856
_cell_length_c 5.155
_cell_angle_alpha 90.00
_cell_angle_beta 90.00
_cell_angle_gamma 90.00
_symmetry_space_group_name_H-M 'P m c 21'
_symmetry_Int_Tables_number 26
_symmetry_space_group_name_Hall 'P 2c -2'
loop_
_atom_site_label
_atom_site_type_symbol
_atom_site_fract_x
_atom_site_fract_y
_atom_site_fract_z
Re1 Re 0.000 0.066 0.000
As1 As 0.500 0.328 0.403
P1 P 0.500 0.237 0.871
O1 O 0.000 0.267 0.338

=====

[6]
# ReAsPO, optimized geometry, DFT PBE-GGA
# **ρ**: 6.590 Mg/m³
# **ΔE to the lowest computed polymorph**: 0.000 eV per atom
# **Final energy**: -7.068 eV per atom
data_ReAsPO
_cell_length_a 3.304
_cell_length_b 6.249
_cell_length_c 7.520
_cell_angle_alpha 90.00
_cell_angle_beta 90.00
_cell_angle_gamma 90.00
_symmetry_space_group_name_H-M 'P m c 21'
_symmetry_Int_Tables_number 26
_symmetry_space_group_name_Hall 'P 2c -2'
loop_
_atom_site_label
_atom_site_type_symbol
_atom_site_fract_x
_atom_site_fract_y
_atom_site_fract_z
Re1 Re 0.000 0.155 0.000
As1 As 0.500 0.214 0.522
P1 P 0.000 0.144 0.304
O1 O 0.500 0.292 0.948